Density functional theory data (PBE+U) for V2Te2O7F2 after structural relaxation. Values from VASP.

```
&SYSTEM
  ibrav = 0, nat = 13, ntyp = 4
/
ATOMIC_SPECIES
V 50.94 V.upf
Te 127.60 Te.upf
O 16.00 O.upf
F 19.00 F.upf
ATOMIC_POSITIONS crystal
V 0.2345 0.1528 0.3637
V 0.7655 0.8472 0.6363
Te 0.2738 0.1862 0.8269
Te 0.7262 0.8138 0.1731
O 0.0000 0.0000 0.0000
O 0.0741 0.0910 0.6278
O 0.1181 0.4482 0.2349
O 0.4733 0.1066 0.1399
O 0.5267 0.8934 0.8601
O 0.8819 0.5518 0.7651
O 0.9259 0.9090 0.3722
F 0.4446 0.7638 0.5096
F 0.5554 0.2362 0.4904
CELL_PARAMETERS angstrom
4.9617 0.0000 0.0000
0.1337 5.3408 0.0000
0.1478 2.3504 6.9063
```

Computed properties:
**Total magnetization**: 0.154 μB per atom
**Raw total energy**: -6.262 eV/atom